An optimized crystal structure of CoIN2F. Source: Alexandria via LeMat-Bulk, functional GGA+U.

```
data_CoIN2F
_chemical_formula_sum 'Co1 I1 N2 F1'
_cell_length_a 4.118
_cell_length_b 4.118
_cell_length_c 4.341
_cell_angle_alpha 90.00
_cell_angle_beta 90.00
_cell_angle_gamma 90.00
_space_group_name_H-M_alt 'P 4/m m m'
_space_group_IT_number 123
_space_group_name_Hall '-P 4 2'
loop_
_atom_site_label
_atom_site_type_symbol
_atom_site_fract_x
_atom_site_fract_y
_atom_site_fract_z
_atom_site_occupancy
Co1 Co 0.000 0.000 0.000 1
I1 I 0.500 0.500 0.500 1
N1 N 0.000 0.500 0.500 1
F1 F 0.500 0.500 0.000 1
```

Values from the calculation:
Spin magnetization (μB per formula unit): 2.778
E_tot (eV for the cell shown): -17.679